CoReOsSeO: optimized geometry, PBE with a Hubbard U.

Results
- SG = P1 (1)
- polymorph energy (0 for the lowest one) (kJ per mole of atoms) = 34.8
- DOS(E_F) (states/eV/f.u.) = 1.01

a b c (Å): 4.200 4.701 4.704
angles (deg): 95.44 90.04 116.49
Each line ends with the local moment (μB).
Positions (direct):
Co1 0.514 0.858 0.847  1.95
Re1 0.207 0.242 0.965  0.01
O1 0.046 0.918 0.640  0.01
Os1 0.841 0.512 0.830  -0.02
Se1 0.703 0.235 0.323  0.01